The following is a DFT calculation (PBE) of a relaxed TmZr5Zn6 crystal.

```
data_TmZr5Zn6
_chemical_formula_sum 'Tm1 Zr5 Zn6'
_cell_length_a 8.240
_cell_length_b 8.240
_cell_length_c 8.240
_cell_angle_alpha 146.45
_cell_angle_beta 131.62
_cell_angle_gamma 60.15
_space_group_name_H-M_alt 'P 1'
_space_group_IT_number 1
_space_group_name_Hall 'P 1'
loop_
_atom_site_label
_atom_site_type_symbol
_atom_site_fract_x
_atom_site_fract_y
_atom_site_fract_z
Tm1 Tm 0.000 0.000 0.000
Zr1 Zr 0.167 0.667 0.500
Zr2 Zr 0.334 0.334 0.000
Zr3 Zr 0.500 0.000 0.500
Zr4 Zr 0.666 0.666 0.000
Zr5 Zr 0.833 0.333 0.500
Zn1 Zn 0.084 0.832 0.252
Zn2 Zn 0.254 0.500 0.754
Zn3 Zn 0.420 0.168 0.252
Zn4 Zn 0.580 0.832 0.748
Zn5 Zn 0.746 0.500 0.246
Zn6 Zn 0.916 0.168 0.748
```

Results
As for the volume: 229.0 Å³/f.u. The value obtained for the density of states at the Fermi level is 10.826 states/eV per cell. The value obtained for the energy of formation is -0.271 eV per atom.